Below is an optimized crystal structure of ZrCo4, with properties calculated at the PBEsol level.

a b c (Å): 5.7815 5.7815 3.6285
angles (deg): 90.00 90.00 90.00
Last column: nearest neighbours and their distance in Å.
Fractional coordinates of all 10 atoms:
Zr  0.0000  0.0000  0.0000  12 Co 2.62-2.63
Zr  0.5000  0.5000  0.5000  12 Co 2.62-2.63
Co  0.0847  0.3162  0.5000  5 Co 2.34-2.46
Co  0.1838  0.5847  0.0000  5 Co 2.34-2.46
Co  0.3162  0.9153  0.5000  5 Co 2.34-2.46
Co  0.4153  0.1838  0.0000  5 Co 2.34-2.46
Co  0.5847  0.8162  0.0000  5 Co 2.34-2.46
Co  0.6838  0.0847  0.5000  5 Co 2.34-2.46
Co  0.8162  0.4153  0.0000  5 Co 2.34-2.46
Co  0.9153  0.6838  0.5000  5 Co 2.34-2.46

Calculated values
Symmetry ... I4/m (87)
M_tot ... 0.735 μB/atom
Calculated formation energy ... -0.049 eV/atom
V ... 12.13 Å³/atom
N(E_F) ... 12.75 states/eV/cell